No. 1
Entry from Alexandria via LeMat-Bulk: a relaxed structure of Y3ScIn12 (GGA-PBE).

a = 4.613 Å, b = 4.613 Å, c = 18.541 Å
α = 90.00°, β = 90.00°, γ = 90.00°
Positions (direct):
Y 0.000 0.000 0.246
Y 0.000 0.000 0.500
Y 0.000 0.000 0.754
Sc 0.000 0.000 0.000
In 0.500 0.500 0.000
In 0.500 0.500 0.248
In 0.500 0.500 0.500
In 0.500 0.500 0.752
In 0.500 0.000 0.120
In 0.500 0.000 0.373
In 0.500 0.000 0.627
In 0.500 0.000 0.880
In 0.000 0.500 0.120
In 0.000 0.500 0.373
In 0.000 0.500 0.627
In 0.000 0.500 0.880


No. 2
Entry from Alexandria via LeMat-Bulk: a relaxed structure of Y2ScIn (GGA-PBE).

a = 5.263 Å, b = 6.519 Å, c = 6.568 Å
α = 100.18°, β = 90.00°, γ = 90.00°
Positions (direct):
Y 0.250 0.935 0.654
Y 0.750 0.065 0.346
Y 0.250 0.694 0.128
Y 0.750 0.306 0.872
Sc 0.250 0.420 0.575
Sc 0.750 0.580 0.425
In 0.250 0.211 0.129
In 0.750 0.789 0.871


no.,ΔH_f (0 K) (eV/atom),calculated density (Mg/m³)
1,-0.39,7.11
2,-0.27,5.05